1.
# PBE GdMgZn, relaxed
data_GdMgZn
_chemical_formula_sum 'Gd4 Mg4 Zn4'
_space_group_name_H-M_alt 'P 1'
_space_group_IT_number 1
_space_group_name_Hall 'P 1'
_cell_length_a 6.3388
_cell_length_b 6.4718
_cell_length_c 7.7230
_cell_angle_alpha 86.05
_cell_angle_beta 83.81
_cell_angle_gamma 61.76
loop_
_atom_site_label
_atom_site_type_symbol
_atom_site_fract_x
_atom_site_fract_y
_atom_site_fract_z
_atom_site_occupancy
Gd1 Gd 0.0000 0.0000 0.0000 1
Gd2 Gd 0.0707 0.2936 0.3443 1
Gd3 Gd 0.3800 0.4021 0.6824 1
Gd4 Gd 0.8381 0.8559 0.6278 1
Mg1 Mg 0.2456 0.6998 0.3233 1
Mg2 Mg 0.3296 0.9118 0.6474 1
Mg3 Mg 0.4731 0.0603 0.0037 1
Mg4 Mg 0.5716 0.5426 0.0120 1
Zn1 Zn 0.0136 0.5313 0.9878 1
Zn2 Zn 0.6324 0.2070 0.3166 1
Zn3 Zn 0.6377 0.7925 0.3023 1
Zn4 Zn 0.8784 0.3661 0.7130 1
# electronic total energy: -31.27 eV for the cell shown
# total magnetization: 0.000 μB/atom

=====

2.
# PBE TmTlFe, relaxed
data_TmTlFe
_chemical_formula_sum 'Tm1 Tl1 Fe1'
_space_group_name_H-M_alt 'P 1'
_space_group_IT_number 1
_space_group_name_Hall 'P 1'
_cell_length_a 4.6196
_cell_length_b 4.6196
_cell_length_c 4.6196
_cell_angle_alpha 60.00
_cell_angle_beta 60.00
_cell_angle_gamma 60.00
loop_
_atom_site_label
_atom_site_type_symbol
_atom_site_fract_x
_atom_site_fract_y
_atom_site_fract_z
_atom_site_occupancy
Tm1 Tm 0.0000 0.0000 0.0000 1
Tl1 Tl 0.5000 0.5000 0.5000 1
Fe1 Fe 0.7500 0.7500 0.7500 1
# electronic total energy: -14.32 eV for the cell shown
# total magnetization: 0.578 μB/atom

=====

3.
# PBE Co3Ir3W2, relaxed
data_Co3Ir3W2
_chemical_formula_sum 'Co3 Ir3 W2'
_space_group_name_H-M_alt 'P 1'
_space_group_IT_number 1
_space_group_name_Hall 'P 1'
_cell_length_a 5.4092
_cell_length_b 5.4092
_cell_length_c 4.2243
_cell_angle_alpha 90.00
_cell_angle_beta 90.00
_cell_angle_gamma 120.00
loop_
_atom_site_label
_atom_site_type_symbol
_atom_site_fract_x
_atom_site_fract_y
_atom_site_fract_z
_atom_site_occupancy
Co1 Co 0.1690 0.3381 0.0000 1
Co2 Co 0.1690 0.8310 0.0000 1
Co3 Co 0.6619 0.8310 0.0000 1
Ir1 Ir 0.3247 0.1623 0.5000 1
Ir2 Ir 0.8377 0.1623 0.5000 1
Ir3 Ir 0.8377 0.6753 0.5000 1
W1 W 0.3333 0.6667 0.5000 1
W2 W 0.6667 0.3333 0.0000 1
# electronic total energy: -75.46 eV for the cell shown
# ΔH_f (0 K): -207 meV/atom
# total magnetization: 0.188 μB/atom

=====

no.,density (g/cm3)
1,5.91
2,10.22
3,17.39